1.
Below is a relaxed ZrUGa2 crystal, with properties calculated at the PBE level.

Lattice parameters (Å, degrees): 3.024 3.024 8.525 90.00 90.00 90.00
Atoms (fractional coordinates):
1 Zr 0.000 0.000 0.000
2 U 0.000 0.000 0.500
3 Ga 0.500 0.500 0.238
4 Ga 0.500 0.500 0.762

formation energy from the elements = -0.30 eV/atom



2.
Below is a relaxed Al4Fe2Ir crystal, with properties calculated at the PBE level.

Lattice parameters (Å, degrees): 5.030 5.030 5.030 109.53 109.53 109.36
Atoms (fractional coordinates):
1 Al 0.000 0.000 0.500
2 Al 0.000 0.500 0.000
3 Al 0.500 0.000 0.000
4 Al 0.500 0.500 0.500
5 Fe 0.000 0.500 0.500
6 Fe 0.500 0.000 0.500
7 Ir 0.000 0.000 0.000

formation energy from the elements = -0.44 eV/atom



3.
Below is a relaxed Li2PrScTe4 crystal, with properties calculated at the PBE level.

Lattice parameters (Å, degrees): 7.462 4.332 7.518 90.00 109.46 90.00
Atoms (fractional coordinates):
1 Li 0.000 0.000 0.000
2 Li 0.000 0.500 0.500
3 Pr 0.500 0.000 0.500
4 Sc 0.500 0.500 0.000
5 Te 0.241 0.500 0.228
6 Te 0.252 0.000 0.769
7 Te 0.748 0.000 0.231
8 Te 0.759 0.500 0.772

formation energy (no corrections) = -1.2166 eV/atom



4.
Below is a relaxed Na2Cd2Te3 crystal, with properties calculated at the PBE level.

Lattice parameters (Å, degrees): 8.040 8.040 7.752 114.22 114.22 33.12
Atoms (fractional coordinates):
1 Na 0.102 0.102 0.379
2 Na 0.898 0.898 0.621
3 Cd 0.314 0.314 0.190
4 Cd 0.686 0.686 0.810
5 Te 0.301 0.301 0.805
6 Te 0.500 0.500 0.500
7 Te 0.699 0.699 0.195

formation energy (no corrections) = -0.6120 eV/atom



5.
Below is a relaxed Sm2AgSnSe5 crystal, with properties calculated at the PBE level.

Lattice parameters (Å, degrees): 8.992 8.992 12.678 90.00 90.00 153.84
Atoms (fractional coordinates):
1 Sm 0.118 0.882 0.500
2 Sm 0.123 0.877 0.119
3 Sm 0.877 0.123 0.619
4 Sm 0.882 0.118 0.000
5 Ag 0.489 0.511 0.296
6 Ag 0.511 0.489 0.796
7 Sn 0.189 0.811 0.815
8 Sn 0.811 0.189 0.315
9 Se 0.043 0.957 0.908
10 Se 0.290 0.710 0.480
11 Se 0.300 0.700 0.145
12 Se 0.353 0.647 0.813
13 Se 0.495 0.505 0.098
14 Se 0.505 0.495 0.598
15 Se 0.647 0.353 0.313
16 Se 0.700 0.300 0.645
17 Se 0.710 0.290 0.980
18 Se 0.957 0.043 0.408

formation energy (no corrections) = -1.0850 eV/atom



6.
Below is a relaxed PmAlSi2 crystal, with properties calculated at the PBE level.

Lattice parameters (Å, degrees): 13.270 4.186 11.270 90.00 90.00 90.00
Atoms (fractional coordinates):
1 Pm 0.052 0.250 0.233
2 Pm 0.201 0.750 0.967
3 Pm 0.299 0.250 0.467
4 Pm 0.448 0.750 0.733
5 Pm 0.552 0.250 0.267
6 Pm 0.701 0.750 0.533
7 Pm 0.799 0.250 0.033
8 Pm 0.948 0.750 0.767
9 Al 0.064 0.250 0.556
10 Al 0.190 0.750 0.660
11 Al 0.310 0.250 0.160
12 Al 0.436 0.750 0.056
13 Al 0.564 0.250 0.944
14 Al 0.690 0.750 0.840
15 Al 0.810 0.250 0.340
16 Al 0.936 0.750 0.444
17 Si 0.025 0.250 0.962
18 Si 0.110 0.250 0.780
19 Si 0.129 0.750 0.435
20 Si 0.214 0.750 0.240
21 Si 0.286 0.250 0.740
22 Si 0.371 0.250 0.935
23 Si 0.390 0.750 0.280
24 Si 0.475 0.750 0.462
25 Si 0.525 0.250 0.538
26 Si 0.610 0.250 0.720
27 Si 0.629 0.750 0.065
28 Si 0.714 0.750 0.260
29 Si 0.786 0.250 0.760
30 Si 0.871 0.250 0.565
31 Si 0.890 0.750 0.220
32 Si 0.975 0.750 0.038

formation energy (no corrections) = -0.4040 eV/atom



7.
Below is a relaxed Pm2AlSi3Au4 crystal, with properties calculated at the PBE level.

Lattice parameters (Å, degrees): 4.286 4.286 10.603 90.00 90.00 90.00
Atoms (fractional coordinates):
1 Pm 0.000 0.500 0.241
2 Pm 0.500 0.000 0.759
3 Al 0.000 0.000 0.500
4 Si 0.000 0.500 0.865
5 Si 0.500 0.000 0.135
6 Si 0.500 0.500 0.500
7 Au 0.000 0.000 0.000
8 Au 0.000 0.500 0.633
9 Au 0.500 0.000 0.367
10 Au 0.500 0.500 0.000

formation energy (no corrections) = -0.6397 eV/atom



8.
Below is a relaxed InCoHg2 crystal, with properties calculated at the PBE level.

Lattice parameters (Å, degrees): 5.313 5.313 5.313 133.45 133.45 67.94
Atoms (fractional coordinates):
1 In 0.000 0.000 0.000
2 Co 0.250 0.750 0.500
3 Hg 0.500 0.500 0.000
4 Hg 0.750 0.250 0.500

formation energy from the elements = 0.40 eV/atom



9.
Below is a relaxed Th4GeBi crystal, with properties calculated at the PBE level.

Lattice parameters (Å, degrees): 7.576 7.576 6.330 90.00 90.00 90.00
Atoms (fractional coordinates):
1 Th 0.146 0.327 0.000
2 Th 0.146 0.673 0.500
3 Th 0.327 0.146 0.500
4 Th 0.327 0.854 0.000
5 Th 0.673 0.146 0.000
6 Th 0.673 0.854 0.500
7 Th 0.854 0.327 0.500
8 Th 0.854 0.673 0.000
9 Ge 0.000 0.000 0.250
10 Ge 0.000 0.000 0.750
11 Bi 0.500 0.500 0.250
12 Bi 0.500 0.500 0.750

formation energy from the elements = -0.46 eV/atom



Repeat the sixth record exactly.
Below is a relaxed PmAlSi2 crystal, with properties calculated at the PBE level.

Lattice parameters (Å, degrees): 13.270 4.186 11.270 90.00 90.00 90.00
Atoms (fractional coordinates):
1 Pm 0.052 0.250 0.233
2 Pm 0.201 0.750 0.967
3 Pm 0.299 0.250 0.467
4 Pm 0.448 0.750 0.733
5 Pm 0.552 0.250 0.267
6 Pm 0.701 0.750 0.533
7 Pm 0.799 0.250 0.033
8 Pm 0.948 0.750 0.767
9 Al 0.064 0.250 0.556
10 Al 0.190 0.750 0.660
11 Al 0.310 0.250 0.160
12 Al 0.436 0.750 0.056
13 Al 0.564 0.250 0.944
14 Al 0.690 0.750 0.840
15 Al 0.810 0.250 0.340
16 Al 0.936 0.750 0.444
17 Si 0.025 0.250 0.962
18 Si 0.110 0.250 0.780
19 Si 0.129 0.750 0.435
20 Si 0.214 0.750 0.240
21 Si 0.286 0.250 0.740
22 Si 0.371 0.250 0.935
23 Si 0.390 0.750 0.280
24 Si 0.475 0.750 0.462
25 Si 0.525 0.250 0.538
26 Si 0.610 0.250 0.720
27 Si 0.629 0.750 0.065
28 Si 0.714 0.750 0.260
29 Si 0.786 0.250 0.760
30 Si 0.871 0.250 0.565
31 Si 0.890 0.750 0.220
32 Si 0.975 0.750 0.038

formation energy (no corrections) = -0.4040 eV/atom